Computed, not measured: a geometry-optimized NaTlRhPb2 structure at the PBE level of DFT.

Lattice parameters (Å, degrees): 5.2365 5.2365 5.4619 90.00 90.00 90.00
Last column: nearest neighbours and their distance in Å.
Positions (direct):
Pb  0.0000  0.5000  0.0000  2 Rh 2.62
Pb  0.5000  0.0000  0.0000  2 Rh 2.62
Na  0.0000  0.0000  0.5000  2 Rh 2.73
Tl  0.5000  0.5000  0.5000  4 Na 3.70, 8 Pb 3.78
Rh  0.0000  0.0000  0.0000  4 Pb 2.62, 2 Na 2.73

Output
Space-group type: No. 123
Energy above the most stable polymorph in this dataset: 0 meV/atom

=====

Computed, not measured: a geometry-optimized NaTlRhPb2 structure at the PBE level of DFT.

Lattice parameters (Å, degrees): 5.3629 5.3629 5.3436 90.00 90.00 90.00
Last column: nearest neighbours and their distance in Å.
Positions (direct):
Pb  0.0000  0.5000  0.0000  2 Rh 2.68
Pb  0.5000  0.0000  0.0000  2 Rh 2.68
Na  0.5000  0.5000  0.5000  8 Pb 3.79, 4 Tl 3.79
Tl  0.0000  0.0000  0.5000  2 Rh 2.67
Rh  0.0000  0.0000  0.0000  2 Tl 2.67, 4 Pb 2.68

Output
Space-group type: No. 123
Energy above the most stable polymorph in this dataset: 23 meV/atom

=====

Computed, not measured: a geometry-optimized NaRu3Pb structure at the PBE level of DFT.

Lattice parameters (Å, degrees): 5.0794 5.0794 5.0794 90.00 90.00 90.00
Last column: nearest neighbours and their distance in Å.
Positions (direct):
Pb  0.0000  0.0000  0.0000  6 Ru 2.54
Ru  0.0000  0.5000  0.0000  2 Pb 2.54
Ru  0.0000  0.0000  0.5000  2 Pb 2.54
Ru  0.5000  0.0000  0.0000  2 Pb 2.54
Na  0.5000  0.5000  0.5000  12 Ru 3.59

Output
Space-group type: No. 221
Energy above the most stable polymorph in this dataset: 0 meV/atom

=====

Computed, not measured: a geometry-optimized Na2RuPb2 structure at the PBE level of DFT.

Lattice parameters (Å, degrees): 7.1477 7.1477 5.3243 90.00 90.00 90.00
Last column: nearest neighbours and their distance in Å.
Positions (direct):
Pb  0.3401  0.8401  0.0000  2 Ru 2.69
Pb  0.8401  0.6599  0.0000  2 Ru 2.69
Pb  0.6599  0.1599  0.0000  2 Ru 2.69
Pb  0.1599  0.3401  0.0000  2 Ru 2.69
Ru  0.0000  0.0000  0.0000  4 Pb 2.69
Ru  0.5000  0.5000  0.0000  4 Pb 2.69
Na  0.1731  0.6731  0.5000  2 Pb 3.15, 1 Na 3.50
Na  0.6731  0.8269  0.5000  2 Pb 3.15, 1 Na 3.50
Na  0.8269  0.3269  0.5000  2 Pb 3.15, 1 Na 3.50
Na  0.3269  0.1731  0.5000  2 Pb 3.15, 1 Na 3.50

Output
Space-group type: No. 127

=====

Computed, not measured: a geometry-optimized NaRuPb3 structure at the PBE level of DFT.

Lattice parameters (Å, degrees): 5.3472 5.3472 5.3472 90.00 90.00 90.00
Last column: nearest neighbours and their distance in Å.
Positions (direct):
Pb  0.0000  0.5000  0.0000  2 Na 2.67
Pb  0.0000  0.0000  0.5000  2 Na 2.67
Pb  0.5000  0.0000  0.0000  2 Na 2.67
Ru  0.5000  0.5000  0.5000  12 Pb 3.78
Na  0.0000  0.0000  0.0000  6 Pb 2.67

Output
Space-group type: No. 221
Energy above the most stable polymorph in this dataset: 1059 meV/atom

=====

Computed, not measured: a geometry-optimized NaRuPb3 structure at the PBE level of DFT.

Lattice parameters (Å, degrees): 5.3554 5.3554 5.3554 90.00 90.00 90.00
Last column: nearest neighbours and their distance in Å.
Positions (direct):
Pb  0.0000  0.5000  0.0000  2 Ru 2.68
Pb  0.0000  0.0000  0.5000  2 Ru 2.68
Pb  0.5000  0.0000  0.0000  2 Ru 2.68
Ru  0.0000  0.0000  0.0000  6 Pb 2.68
Na  0.5000  0.5000  0.5000  12 Pb 3.79

Output
Space-group type: No. 221
Energy above the most stable polymorph in this dataset: 0 meV/atom

=====

Asked for formation energy from the elements across the records above, the calculation gives 0.024, 0.047, 1.894, 0.270, 1.302, 0.243 eV per atom in order.
Asked for D(E_F) across the records above, the calculation gives 2.5, 4.1, 6.7, 7.4, 11.7, 4.4 states/eV per cell in order.